5
Lattice="3.475 0.000 0.000 0.000 3.475 0.000 0.000 0.000 4.031" Properties=species:S:1:pos:R:3 comment="BeAlNF2 (SCAN, PBEsol geometry)" total_magnetization_mub_per_cell=0.00 crystal_system=tetragonal sg=P4/mmm e_form_raw_kj_per_mol_atoms=-142.8 pbc="T T T"
Be 0.000 0.000 0.000
Al 1.738 1.738 2.015
N 1.738 1.738 0.000
F 0.000 1.738 2.015
F 1.738 0.000 2.015